w.
{
  "formula": "Tb2Sm3Y2",
  "functional": "GGA-PBE",
  "state": "optimized geometry",
  "lattice_angstrom": [[3.5462, 0.0000, 0.0000], [0.0002, 5.5540, 0.0000], [1.7625, 2.7646, 11.7272]],
  "species": ["Tb", "Tb", "Sm", "Sm", "Sm", "Y", "Y"],
  "fractional_positions": [[0.0793, 0.0785, 0.3438], [0.9207, 0.9215, 0.6562], [0.2766, 0.7768, 0.9463], [0.5000, 0.5000, 0.5000], [0.7234, 0.2232, 0.0537], [0.3568, 0.3574, 0.7843], [0.6432, 0.6426, 0.2157]],
  "magnetic_moment_mub_per_fu": 0.00,
  "dos_ef_per_ev_fu": 12.067,
  "volume_a3_per_atom": 33.00,
  "mass_density_g_cm3": 6.81,
  "sg": "P-1"
}

x.
{
  "formula": "Tb2Sm3Y2",
  "functional": "GGA-PBE",
  "state": "optimized geometry",
  "lattice_angstrom": [[8.7892, -1.7649, 0.0000], [8.7892, 1.7649, 0.0000], [-4.1542, 0.0000, 7.5088]],
  "species": ["Tb", "Tb", "Sm", "Sm", "Sm", "Y", "Y"],
  "fractional_positions": [[0.0651, 0.0651, 0.4095], [0.9349, 0.9349, 0.5905], [0.2878, 0.2878, 0.6995], [0.5000, 0.5000, 0.0000], [0.7122, 0.7122, 0.3005], [0.3542, 0.3542, 0.1741], [0.6458, 0.6458, 0.8259]],
  "magnetic_moment_mub_per_fu": 0.00,
  "dos_ef_per_ev_fu": 11.166,
  "volume_a3_per_atom": 33.28,
  "mass_density_g_cm3": 6.75,
  "sg": "C2/m"
}

Which structure loses on stability? x does.

w.
{
  "formula": "Tb2SmY8",
  "functional": "GGA-PBE",
  "state": "optimized geometry",
  "lattice_angstrom": [[4.5235, -8.0977, 0.0000], [4.5235, 8.0977, 0.0000], [-3.2067, 0.0000, 4.9493]],
  "species": ["Tb", "Tb", "Sm", "Y", "Y", "Y", "Y", "Y", "Y", "Y", "Y"],
  "fractional_positions": [[0.1928, 0.8072, 0.0000], [0.8072, 0.1928, 0.0000], [0.5000, 0.5000, 0.5000], [0.0734, 0.0734, 0.2935], [0.1653, 0.4012, 0.8256], [0.2931, 0.7069, 0.5000], [0.4012, 0.1653, 0.8256], [0.5988, 0.8347, 0.1744], [0.7069, 0.2931, 0.5000], [0.8347, 0.5988, 0.1744], [0.9266, 0.9266, 0.7065]],
  "magnetic_moment_mub_per_fu": 0.00,
  "dos_ef_per_ev_fu": 18.062,
  "volume_a3_per_atom": 32.96,
  "mass_density_g_cm3": 5.40,
  "sg": "C2/m"
}

x.
{
  "formula": "Tb2SmY8",
  "functional": "GGA-PBE",
  "state": "optimized geometry",
  "lattice_angstrom": [[8.3035, -3.3382, 0.0000], [8.3035, 3.3382, 0.0000], [-1.1224, 0.0000, 6.5773]],
  "species": ["Tb", "Tb", "Sm", "Y", "Y", "Y", "Y", "Y", "Y", "Y", "Y"],
  "fractional_positions": [[0.2442, 0.2442, 0.3108], [0.7558, 0.7558, 0.6892], [0.0000, 0.0000, 0.0000], [0.1731, 0.6482, 0.5944], [0.2047, 0.2047, 0.8015], [0.3518, 0.8269, 0.4056], [0.4112, 0.4112, 0.0967], [0.5888, 0.5888, 0.9033], [0.6482, 0.1731, 0.5944], [0.7953, 0.7953, 0.1985], [0.8269, 0.3518, 0.4056]],
  "magnetic_moment_mub_per_fu": 0.00,
  "dos_ef_per_ev_fu": 19.248,
  "volume_a3_per_atom": 33.15,
  "mass_density_g_cm3": 5.37,
  "sg": "C2/m"
}

Which structure loses on stability? x does.

w.
{
  "formula": "Tb3Sm4Y4",
  "functional": "GGA-PBE",
  "state": "optimized geometry",
  "lattice_angstrom": [[-1.7980, 4.6683, 11.0675], [1.7980, -4.6683, 11.0675], [1.7980, 4.6683, -11.0675]],
  "species": ["Tb", "Tb", "Tb", "Sm", "Sm", "Sm", "Sm", "Y", "Y", "Y", "Y"],
  "fractional_positions": [[0.0000, 0.0000, 0.0000], [0.3912, 0.8912, 0.5000], [0.6088, 0.1088, 0.5000], [0.0356, 0.3571, 0.6785], [0.3213, 0.6429, 0.6785], [0.6787, 0.3571, 0.3215], [0.9644, 0.6429, 0.3215], [0.2581, 0.2581, 0.0000], [0.3176, 0.5000, 0.8176], [0.6824, 0.5000, 0.1824], [0.7419, 0.7419, 0.0000]],
  "magnetic_moment_mub_per_fu": 0.00,
  "dos_ef_per_ev_fu": 17.837,
  "volume_a3_per_atom": 33.78,
  "mass_density_g_cm3": 6.41,
  "sg": "Immm"
}

x.
{
  "formula": "Tb3Sm4Y4",
  "functional": "GGA-PBE",
  "state": "optimized geometry",
  "lattice_angstrom": [[3.5308, 0.0000, 0.0000], [-0.0002, 5.6577, 0.0000], [-1.7618, -2.8226, 17.9817]],
  "species": ["Tb", "Tb", "Tb", "Sm", "Sm", "Sm", "Sm", "Y", "Y", "Y", "Y"],
  "fractional_positions": [[0.0000, 0.0000, 0.0000], [0.1366, 0.6372, 0.2739], [0.8634, 0.3628, 0.7261], [0.3203, 0.8196, 0.6397], [0.4544, 0.4532, 0.9085], [0.5456, 0.5468, 0.0915], [0.6797, 0.1804, 0.3603], [0.2667, 0.2669, 0.5339], [0.4096, 0.9084, 0.8188], [0.5904, 0.0916, 0.1812], [0.7333, 0.7331, 0.4661]],
  "magnetic_moment_mub_per_fu": 0.00,
  "dos_ef_per_ev_fu": 18.342,
  "volume_a3_per_atom": 32.66,
  "mass_density_g_cm3": 6.63,
  "sg": "P-1"
}

Which structure loses on stability? w does.

w.
{
  "formula": "TbSm4Y7",
  "functional": "GGA-PBE",
  "state": "optimized geometry",
  "lattice_angstrom": [[6.5746, 0.0000, 0.0000], [0.9673, 6.7925, 0.0000], [2.0401, 0.4265, 8.8833]],
  "species": ["Tb", "Sm", "Sm", "Sm", "Sm", "Y", "Y", "Y", "Y", "Y", "Y", "Y"],
  "fractional_positions": [[0.0000, 0.0000, 0.0000], [0.1611, 0.6190, 0.3068], [0.3597, 0.1858, 0.7167], [0.6403, 0.8142, 0.2833], [0.8389, 0.3810, 0.6932], [0.0000, 0.5000, 0.0000], [0.1866, 0.1085, 0.3827], [0.3217, 0.6929, 0.6389], [0.4893, 0.2483, 0.0488], [0.5107, 0.7517, 0.9512], [0.6783, 0.3071, 0.3611], [0.8134, 0.8915, 0.6173]],
  "magnetic_moment_mub_per_fu": 0.00,
  "dos_ef_per_ev_fu": 21.083,
  "volume_a3_per_atom": 33.06,
  "mass_density_g_cm3": 5.79,
  "sg": "P-1"
}

x.
{
  "formula": "TbSm4Y7",
  "functional": "GGA-PBE",
  "state": "optimized geometry",
  "lattice_angstrom": [[6.0782, -2.9539, 0.0000], [6.0782, 2.9539, 0.0000], [-5.9883, 0.0000, 11.3698]],
  "species": ["Tb", "Sm", "Sm", "Sm", "Sm", "Y", "Y", "Y", "Y", "Y", "Y", "Y"],
  "fractional_positions": [[0.0000, 0.0000, 0.0000], [0.2230, 0.2230, 0.6675], [0.3589, 0.3589, 0.2235], [0.6411, 0.6411, 0.7765], [0.7770, 0.7770, 0.3325], [0.0690, 0.0690, 0.3109], [0.2109, 0.2109, 0.9231], [0.3677, 0.3677, 0.5048], [0.5000, 0.5000, 0.0000], [0.6323, 0.6323, 0.4952], [0.7891, 0.7891, 0.0769], [0.9310, 0.9310, 0.6891]],
  "magnetic_moment_mub_per_fu": 0.37,
  "dos_ef_per_ev_fu": 21.662,
  "volume_a3_per_atom": 34.02,
  "mass_density_g_cm3": 5.62,
  "sg": "C2/m"
}

Which structure loses on stability? x does.

w.
{
  "formula": "Tb6Sm3Y",
  "functional": "GGA-PBE",
  "state": "optimized geometry",
  "lattice_angstrom": [[5.7767, -3.3151, 0.0000], [5.7767, 3.3151, 0.0000], [-3.9483, 0.0000, 8.8020]],
  "species": ["Tb", "Tb", "Tb", "Tb", "Tb", "Tb", "Sm", "Sm", "Sm", "Y"],
  "fractional_positions": [[0.0603, 0.5673, 0.1908], [0.1386, 0.1386, 0.4230], [0.4327, 0.9397, 0.8092], [0.5673, 0.0603, 0.1908], [0.8614, 0.8614, 0.5770], [0.9397, 0.4327, 0.8092], [0.4315, 0.4315, 0.8031], [0.5000, 0.5000, 0.5000], [0.5685, 0.5685, 0.1969], [0.0000, 0.0000, 0.0000]],
  "magnetic_moment_mub_per_fu": 0.00,
  "dos_ef_per_ev_fu": 18.318,
  "volume_a3_per_atom": 33.71,
  "mass_density_g_cm3": 7.36,
  "sg": "C2/m"
}

x.
{
  "formula": "Tb6Sm3Y",
  "functional": "GGA-PBE",
  "state": "optimized geometry",
  "lattice_angstrom": [[5.4343, -9.4634, 0.0000], [5.4343, 9.4634, 0.0000], [0.0000, 0.0000, 6.4104]],
  "species": ["Tb", "Tb", "Tb", "Tb", "Tb", "Tb", "Tb", "Tb", "Tb", "Tb", "Tb", "Tb", "Sm", "Sm", "Sm", "Sm", "Sm", "Sm", "Y", "Y"],
  "fractional_positions": [[0.0346, 0.9654, 0.5000], [0.0553, 0.4757, 0.9923], [0.2734, 0.7266, 0.7047], [0.2852, 0.3752, 0.8058], [0.3752, 0.2852, 0.3058], [0.4757, 0.0553, 0.4923], [0.5243, 0.9447, 0.9923], [0.6248, 0.7148, 0.8058], [0.7148, 0.6248, 0.3058], [0.7266, 0.2734, 0.2047], [0.9447, 0.5243, 0.4923], [0.9654, 0.0346, 0.0000], [0.0614, 0.2906, 0.3905], [0.2906, 0.0614, 0.8905], [0.3873, 0.6127, 0.2804], [0.6127, 0.3873, 0.7804], [0.7094, 0.9386, 0.3905], [0.9386, 0.7094, 0.8905], [0.1902, 0.8098, 0.2371], [0.8098, 0.1902, 0.7371]],
  "magnetic_moment_mub_per_fu": 0.00,
  "dos_ef_per_ev_fu": 13.523,
  "volume_a3_per_atom": 32.97,
  "mass_density_g_cm3": 7.52,
  "sg": "Cmc2_1"
}

Which structure loses on stability? w does.